#a
BaTe2Au2 after structural relaxation. Source: the Alexandria database, functional PBE-GGA.

Lattice parameters (Å, degrees): 8.564 8.564 3.855 90.00 90.00 90.00
Space group P4/mbm (No. 127)
Symmetry-distinct sites (fractional):
Ba1 0.000 0.000 0.000 [2 per cell]
Te1 0.145 0.355 0.000 [4 per cell]
Au1 0.160 0.660 0.500 [4 per cell]

## Properties
V: 28.3 Å³ per atom
DOS at the Fermi energy: 5.52 states/eV per cell

***

#b
BaTe2Au2 after structural relaxation. Source: the Alexandria database, functional PBE-GGA.

Lattice parameters (Å, degrees): 8.352 8.352 4.037 90.00 90.00 90.00
Space group P4/mbm (No. 127)
Symmetry-distinct sites (fractional):
Ba1 0.000 0.000 0.000 [2 per cell]
Te1 0.206 0.294 0.500 [4 per cell]
Au1 0.114 0.614 0.000 [4 per cell]

## Properties
V: 28.2 Å³ per atom
DOS at the Fermi energy: 3.92 states/eV per cell

***

The structure with the most favorable energy is #b; the runner-up is 241 meV/atom above it.